A geometry-optimized ZrCoRh2 structure. Source: the Alexandria database, functional PBE.

Total energy   -30.3 eV/f.u.

Cell lengths 8.9361, 8.9361, 8.9361 Å; angles 18.34, 18.34, 18.34 degrees
Positions (direct):
Zr: 0.0000 0.0000 0.0000
Co: 0.5000 0.5000 0.5000
Rh: 0.2430 0.2430 0.2430
Rh: 0.7570 0.7570 0.7570